# 1
The following is a DFT calculation (PBE-GGA) of an optimized crystal structure of Pm3YTh.

a = 7.6234 Å, b = 9.4696 Å, c = 9.4696 Å
α = 91.33°, β = 90.00°, γ = 89.99°
Positions (direct):
Y 0.7500 0.2307 0.7693
Pm 0.6198 0.8765 0.9198
Th 0.5839 0.1049 0.3952
Y 0.2500 0.7693 0.2307
Pm 0.3802 0.4198 0.3765
Pm 0.3594 0.5938 0.9061
Th 0.9161 0.6048 0.8951
Pm 0.6198 0.5802 0.6235
Th 0.4161 0.8951 0.6048
Y 0.2500 0.2693 0.7307
Pm 0.8803 0.0802 0.1235
Pm 0.3802 0.1235 0.0802
Y 0.7500 0.7307 0.2693
Pm 0.1406 0.0939 0.4062
Th 0.0839 0.3952 0.1049
Pm 0.6406 0.4062 0.0939
Pm 0.8594 0.9061 0.5938
Pm 0.1197 0.9198 0.8765
Pm 0.8802 0.3765 0.4198
Pm 0.1198 0.6235 0.5802

Calculated values
The calculation puts the offset from the most stable computed form at 0.0 kJ per mole of atoms. The crystal system is orthorhombic. As for the space group: No. 64. The value obtained for the magnetization is 0.000 μB per cell. The formation energy is 0.156 eV/atom.

=====

# 2
The following is a DFT calculation (PBE-GGA) of an optimized crystal structure of Pm3Y3Th.

a = 5.7826 Å, b = 9.6982 Å, c = 9.6982 Å
α = 120.00°, β = 90.00°, γ = 90.00°
Positions (direct):
Pm 0.7500 0.0586 0.8129
Pm 0.2500 0.9414 0.1871
Y 0.2500 0.3858 0.4814
Th 0.2500 0.6667 0.3333
Y 0.2500 0.5186 0.9044
Pm 0.2500 0.8129 0.7543
Pm 0.7500 0.1871 0.2457
Y 0.2500 0.0956 0.6142
Y 0.7500 0.4814 0.0956
Th 0.7500 0.3333 0.6667
Pm 0.2500 0.2457 0.0586
Y 0.7500 0.6142 0.5186
Y 0.7500 0.9044 0.3858
Pm 0.7500 0.7543 0.9414

Calculated values
The calculation puts the offset from the most stable computed form at 0.0 kJ per mole of atoms. The crystal system is hexagonal. As for the space group: No. 176. The value obtained for the magnetization is 0.000 μB per cell. The formation energy is 0.037 eV/atom.